Below is an optimized crystal structure of LaMg2As, with properties calculated at the PBE level.

```
LaMg2As
1.0
-3.2820 1.9990 -2.1455
-3.3585 -1.5482 3.6950
-0.3547 3.5337 3.8352
As Mg La
1 2 1
Cartesian
-2.5693 1.4959 0.8098 As
-1.6022 0.8581 3.2504 Mg
-0.2544 0.1347 0.5147 Mg
-4.4259 2.4887 4.5749 La
```

Properties
DOS at the Fermi energy (states/eV per atom): 0.28
Size of the total moment (μB/atom): 0.00
Volume (Å³/cell): 112
E_form (eV/atom): -0.47



Below is an optimized crystal structure of LaMg3As, with properties calculated at the PBE level.

```
LaMg3As
1.0
5.9494 0.0000 0.0000
0.0000 5.9494 0.0000
0.0000 0.0000 5.9494
Mg As La
3 1 1
Cartesian
2.9747 0.0000 0.0000 Mg
0.0000 2.9747 0.0000 Mg
0.0000 0.0000 2.9747 Mg
2.9747 2.9747 2.9747 As
0.0000 0.0000 0.0000 La
```

Properties
DOS at the Fermi energy (states/eV per atom): 0.95
Size of the total moment (μB/atom): 0.01
Volume (Å³/cell): 211
Energy above the lowest structure with this stoichiometry (eV per atom): 1.334
E_form (eV/atom): 1.32



Below is an optimized crystal structure of LaMg2As, with properties calculated at the PBE level.

```
LaMg2As
1.0
4.2686 1.0451 0.0000
-1.0452 4.2686 0.0000
0.0000 0.0000 5.1840
Mg La As
2 1 1
Cartesian
0.0000 0.0000 0.0000 Mg
1.6117 2.6568 0.0000 Mg
-0.5226 2.1343 2.5920 La
2.1343 0.5225 2.5920 As
```

Properties
DOS at the Fermi energy (states/eV per atom): 0.43
Size of the total moment (μB/atom): 0.00
Volume (Å³/cell): 100
E_form (eV/atom): -0.54



Below is an optimized crystal structure of LaMg2As, with properties calculated at the PBE level.

```
LaMg2As
1.0
8.6133 0.0000 0.0000
0.0000 8.6133 0.0000
4.3066 4.3066 2.9977
As Mg La
2 4 2
Cartesian
4.3066 8.6133 1.4989 As
4.3066 4.3066 0.0000 As
6.4600 7.0367 2.2483 Mg
10.7666 10.1899 2.2483 Mg
2.7300 6.4600 0.7494 Mg
5.8833 2.1533 0.7494 Mg
0.0000 0.0000 0.0000 La
8.6133 4.3066 1.4989 La
```

Properties
DOS at the Fermi energy (states/eV per atom): 0.09
Size of the total moment (μB/atom): 0.00
Volume (Å³/cell): 222
E_form (eV/atom): -0.41